(1)
Below is a geometry-optimized LiScInAs2 structure, with properties calculated at the GGA-PBE level.

Cell and atoms, written as extended XYZ:
```
5
Lattice="-4.0507 -2.6552 -2.1789 3.4353 -2.7687 -3.0124 0.3680 -3.6851 3.8066" Properties=species:S:1:pos:R:3 pbc="T T T"
Li -0.1237 -4.5545 -0.6924
In 0.0000 0.0000 0.0000
As 0.1840 -1.8425 1.9033
As -2.0253 -1.3276 -1.0894
Sc 1.7177 -1.3844 -1.5062
```

Output
Space group = P4/mmm, No. 123
Uncorrected energy = -3.50 eV per atom
Fermi-level density of states = 4.3 states/eV/cell
M_tot = 0.00 μB per formula unit
Energy relative to the elements = 0.56 eV/atom

(2)
Below is a geometry-optimized LiInSiAs2 structure, with properties calculated at the GGA-PBE level.

Cell and atoms, written as extended XYZ:
```
5
Lattice="5.2337 0.0000 0.0000 0.0000 4.8132 0.0000 0.0000 0.0000 5.2337" Properties=species:S:1:pos:R:3 pbc="T T T"
In 0.0000 0.0000 0.0000
As 0.0000 0.0000 2.6168
Si 2.6168 2.4066 2.6168
Li 0.0000 2.4066 0.0000
As 2.6168 0.0000 0.0000
```

Output
Space group = P4/mmm, No. 123
Raw formation energy = 4.36 eV/f.u.
Uncorrected energy = -3.00 eV per atom
Fermi-level density of states = 3.0 states/eV/cell
M_tot = 0.00 μB per formula unit

M_tot of number 2 (LiInSiAs2)? 0.00 μB per formula unit

Please write out number 2 again, unchanged.
Below is a geometry-optimized LiInSiAs2 structure, with properties calculated at the GGA-PBE level.

Cell and atoms, written as extended XYZ:
```
5
Lattice="5.2337 0.0000 0.0000 0.0000 4.8132 0.0000 0.0000 0.0000 5.2337" Properties=species:S:1:pos:R:3 pbc="T T T"
In 0.0000 0.0000 0.0000
As 0.0000 0.0000 2.6168
Si 2.6168 2.4066 2.6168
Li 0.0000 2.4066 0.0000
As 2.6168 0.0000 0.0000
```

Output
Space group = P4/mmm, No. 123
Raw formation energy = 4.36 eV/f.u.
Uncorrected energy = -3.00 eV per atom
Fermi-level density of states = 3.0 states/eV/cell
M_tot = 0.00 μB per formula unit

uncorrected energy of number 2 (LiInSiAs2)? -3.00 eV per atom